Below is a relaxed VOsN2F crystal, with properties calculated at the PBE+U level.

a b c (Å): 3.8940 3.8940 3.7057
angles (deg): 90.00 90.00 90.00
Closest atoms and distances in Å follow each position.
Fractional positions:
V 0.0000 0.0000 0.0000  2 F 1.85, 4 N 1.95
Os 0.5000 0.5000 0.5000  8 N 2.69, 4 F 2.75
N 0.0000 0.5000 0.0000  2 V 1.95
F 0.0000 0.0000 0.5000  2 V 1.85
N 0.5000 0.0000 0.0000  2 V 1.95

Values from the calculation:
ρ = 8.52 g/cm3
energy = -6.507 eV per atom
calculated volume = 11.2 Å³ per atom
SG = P4/mmm, No. 123
spin magnetization = 2.543 μB/f.u.